No. 1
Density functional theory data (PBE) for crystalline RbSbH at its relaxed geometry.

Calculated values
density	3.23	g cm⁻³
E above lowest polymorph	57	meV per atom

Unit cell a=6.005 b=6.076 c=6.775 alpha=85.05 beta=89.63 gamma=60.39
Space group P1 (No. 1)
Unique sites:
Rb: 0.000 0.000 0.000 (multiplicity 1)
Rb: 0.341 0.331 0.497 (multiplicity 1)
Sb: 0.652 0.674 0.798 (multiplicity 1)
Sb: 0.663 0.672 0.224 (multiplicity 1)
H: 0.850 0.342 0.297 (multiplicity 1)
H: 0.939 0.679 0.750 (multiplicity 1)

=====

No. 2
Density functional theory data (PBE) for crystalline RbSbH at its relaxed geometry.

Calculated values
density	4.03	g cm⁻³
E above lowest polymorph	102	meV per atom

Unit cell a=6.127 b=3.530 c=8.484 alpha=90.00 beta=110.58 gamma=90.00
Space group Pm (No. 6)
Unique sites:
Rb: 0.000 0.000 0.000 (multiplicity 1)
Rb: 0.237 0.000 0.488 (multiplicity 1)
Sb: 0.447 0.500 0.890 (multiplicity 1)
Sb: 0.621 0.500 0.250 (multiplicity 1)
H: 0.784 0.500 0.682 (multiplicity 1)
H: 0.912 0.500 0.686 (multiplicity 1)

=====

No. 3
Density functional theory data (PBE) for crystalline Rb3SbH4 at its relaxed geometry.

Calculated values
density	2.63	g cm⁻³
energy	-42.62	eV per cell

Unit cell a=12.176 b=5.741 c=7.168 alpha=90.00 beta=105.62 gamma=90.00
Space group C2/m (No. 12)
Unique sites:
Rb: 0.000 0.000 0.000 (multiplicity 2)
Rb: 0.190 0.000 0.620 (multiplicity 4)
Sb: 0.000 0.500 0.500 (multiplicity 2)
H: 0.097 0.500 0.099 (multiplicity 4)
H: 0.106 0.500 0.996 (multiplicity 4)

=====

no.,total moment (μB/cell)
1,0.00
2,0.00
3,0.00